Y2Re2Mo | PBE | relaxed

Cell lengths 6.6170, 6.6170, 4.8498 Å; angles 90.00, 90.00, 90.00 degrees
Fractional coordinates of all 10 atoms:
Y1 0.1772 0.6772 0.5000
Y2 0.6772 0.8228 0.5000
Y3 0.8228 0.3228 0.5000
Y4 0.3228 0.1772 0.5000
Re1 0.3702 0.8702 0.0000
Re2 0.8702 0.6298 0.0000
Re3 0.6298 0.1298 0.0000
Re4 0.1298 0.3702 0.0000
Mo1 0.0000 0.0000 0.0000
Mo2 0.5000 0.5000 0.0000

Properties
The value obtained for the energy is -95.8 eV per cell. As for the formation energy: 0.146 eV/atom. For the density of states at the Fermi level, the calculation gives 12.9 states/eV per cell.

---

Y2ReMo | PBE | relaxed

Cell lengths 4.7971, 4.1593, 4.1593 Å; angles 90.00, 90.00, 90.00 degrees
Fractional coordinates of all 4 atoms:
Mo1 0.5000 0.5000 0.0000
Re1 0.5000 0.0000 0.5000
Y1 0.0000 0.0000 0.0000
Y2 0.0000 0.5000 0.5000

Properties
The value obtained for the energy is -33.7 eV per cell. As for the formation energy: 0.631 eV/atom. For the density of states at the Fermi level, the calculation gives 4.7 states/eV per cell.

---

Y2Re2Mo | PBE | relaxed

Cell lengths 3.5223, 3.5223, 9.4322 Å; angles 79.24, 79.24, 90.00 degrees
Each line ends with the local moment (μB).
Fractional coordinates of all 5 atoms:
Y1 0.3954 0.3954 0.2091  0.03
Y2 0.6046 0.6046 0.7909  0.03
Re1 0.7500 0.2500 0.5000  -0.01
Re2 0.2500 0.7500 0.5000  -0.01
Mo1 0.0000 0.0000 0.0000  1.36

Properties
The value obtained for the energy is -45.5 eV per cell. As for the formation energy: 0.636 eV/atom. For the density of states at the Fermi level, the calculation gives 5.0 states/eV per cell.

---

YReMo2 | PBE | relaxed

Cell lengths 4.6519, 4.6519, 3.2308 Å; angles 90.00, 90.00, 90.00 degrees
Fractional coordinates of all 4 atoms:
Mo1 0.0000 0.0000 0.0000
Mo2 0.5000 0.5000 0.0000
Re1 0.5000 0.0000 0.5000
Y1 0.0000 0.5000 0.5000

Properties
The value obtained for the energy is -39.0 eV per cell. As for the formation energy: 0.399 eV/atom. For the density of states at the Fermi level, the calculation gives 3.4 states/eV per cell.

---

YReMo2 | PBE | relaxed

Cell lengths 2.8488, 2.8488, 9.3963 Å; angles 90.00, 90.00, 110.59 degrees
Fractional coordinates of all 4 atoms:
Mo1 0.0000 0.0000 0.0277
Mo2 0.0000 0.0000 0.4723
Re1 0.5000 0.5000 0.2500
Y1 0.5000 0.5000 0.7500

Properties
The value obtained for the energy is -39.1 eV per cell. As for the formation energy: 0.377 eV/atom. For the density of states at the Fermi level, the calculation gives 3.3 states/eV per cell.

---

Y2ReMo | PBE | relaxed

Cell lengths 9.5227, 9.5227, 9.5227 Å; angles 19.55, 19.55, 19.55 degrees
Fractional coordinates of all 4 atoms:
Mo1 0.2500 0.2500 0.2500
Re1 0.7500 0.7500 0.7500
Y1 0.0038 0.0038 0.0038
Y2 0.4962 0.4962 0.4962

Properties
The value obtained for the energy is -33.3 eV per cell. As for the formation energy: 0.730 eV/atom. For the density of states at the Fermi level, the calculation gives 6.0 states/eV per cell.

---

YReMo2 | PBE | relaxed

Cell lengths 5.5206, 5.5206, 2.7327 Å; angles 90.00, 90.00, 120.63 degrees
Fractional coordinates of all 4 atoms:
Mo1 0.0000 0.0000 0.0000
Mo2 0.5000 0.5000 0.0000
Re1 0.5000 0.0000 0.5000
Y1 0.0000 0.5000 0.5000

Properties
The value obtained for the energy is -38.2 eV per cell. As for the formation energy: 0.587 eV/atom. For the density of states at the Fermi level, the calculation gives 3.9 states/eV per cell.

---

Y2ReMo | PBE | relaxed

Cell lengths 3.2316, 3.2316, 8.7037 Å; angles 90.00, 90.00, 90.00 degrees
Fractional coordinates of all 4 atoms:
Mo1 0.0000 0.0000 0.5502
Re1 0.5000 0.5000 0.7036
Y1 0.0000 0.0000 0.9366
Y2 0.5000 0.5000 0.3095

Properties
The value obtained for the energy is -35.9 eV per cell. As for the formation energy: 0.082 eV/atom. For the density of states at the Fermi level, the calculation gives 4.4 states/eV per cell.